Density functional theory data (PBE) for a relaxed AlSb2Pd6 crystal.

Cell lengths 7.110, 7.110, 3.429 Å; angles 90.00, 90.00, 120.00 degrees
Fractional coordinates of all 9 atoms:
1 Sb 0.333 0.667 0.500
2 Sb 0.667 0.333 0.500
3 Pd 0.000 0.378 0.000
4 Pd 0.000 0.739 0.500
5 Pd 0.622 0.622 0.000
6 Pd 0.739 0.000 0.500
7 Pd 0.261 0.261 0.500
8 Pd 0.378 0.000 0.000
9 Al 0.000 0.000 0.000



Density functional theory data (PBE) for a relaxed Zr2AlSbPd2 crystal.

Properties
total magnetic moment = 0.0 Bohr magnetons per cell

Cell lengths 6.294, 6.294, 7.712 Å; angles 65.92, 65.92, 90.00 degrees
Fractional coordinates of all 12 atoms:
1 Al 0.000 0.000 0.000
2 Al 0.250 0.750 0.500
3 Zr 0.246 0.246 0.507
4 Zr 0.496 0.996 0.007
5 Zr 0.754 0.754 0.493
6 Zr 0.004 0.504 0.993
7 Pd 0.125 0.634 0.250
8 Pd 0.625 0.116 0.250
9 Pd 0.366 0.375 0.750
10 Pd 0.884 0.875 0.750
11 Sb 0.750 0.250 0.500
12 Sb 0.500 0.500 0.000



Number 1: total DFT energy (no corrections) -48.44 eV/cell. Number 2: total DFT energy (no corrections) -79.76 eV/cell.